1.
Here is a geometry-optimized PmTlAu structure from the Open Quantum Materials Database. Energies are from GGA-PBE.

Lattice parameters (Å, degrees): 5.1959 5.1959 6.4403 90.00 90.00 120.00
Space group P6_3/mmc (No. 194)
Unique sites:
Pm  0.3333  0.6667  0.2500 x2
Tl  0.0000  0.0000  0.0000 x2
Au  0.3333  0.6667  0.7500 x2

E above lowest polymorph = 0 meV/atom

2.
Here is a geometry-optimized LuCoSbMo structure from the Open Quantum Materials Database. Energies are from GGA-PBE.

Lattice parameters (Å, degrees): 6.6779 6.6779 6.6779 90.00 90.00 90.00
Space group F-43m (No. 216)
Unique sites:
Lu  0.0000  0.0000  0.0000 x4
Co  0.0000  0.0000  0.5000 x4
Sb  0.2500  0.2500  0.2500 x4
Mo  0.2500  0.2500  0.7500 x4

E above lowest polymorph = 351 meV/atom

3.
Here is a geometry-optimized SmY2Ga3Ni3 structure from the Open Quantum Materials Database. Energies are from GGA-PBE.

Lattice parameters (Å, degrees): 3.7853 12.2388 7.0998 90.00 90.00 90.00
Space group Amm2 (No. 38)
Unique sites:
Sm  0.0000  0.0000  0.0000 x2
Y  0.0000  0.2060  0.6210 x4
Ga  0.5000  0.0000  0.6550 x2
Ga  0.5000  0.1244  0.2944 x4
Ni  0.0000  0.0000  0.4137 x2
Ni  0.5000  0.1677  0.9145 x4

Total DFT energy (no corrections) = -5.442 eV per atom

4.
Here is a geometry-optimized LuZnInTe3 structure from the Open Quantum Materials Database. Energies are from GGA-PBE.

Lattice parameters (Å, degrees): 11.4025 4.3026 15.2981 90.00 90.00 90.00
Space group Pnma (No. 62)
Unique sites:
Lu  0.0167  0.2500  0.2454 x4
Zn  0.2383  0.2500  0.7157 x4
In  0.2246  0.7500  0.5074 x4
Te  0.0423  0.2500  0.6198 x4
Te  0.0750  0.7500  0.1121 x4
Te  0.2360  0.7500  0.8256 x4

E above lowest polymorph = 0 meV/atom